--- P ---
Density functional theory data (GGA-PBE) for a geometry-optimized ZrOsRh2 structure.

a b c (Å): 9.4305 9.4305 9.4305
angles (deg): 17.14 17.14 17.14
Last column: nearest neighbours and their distance in Å.
Fractional positions:
Zr 0.0000 0.0000 0.0000  6 Zr 2.81, 3 Rh 2.87, 3 Os 3.02
Os 0.7581 0.7581 0.7581  3 Rh 2.66, 6 Os 2.81
Rh 0.2483 0.2483 0.2483  9 Rh 2.79-2.81, 3 Zr 2.87
Rh 0.5002 0.5002 0.5002  3 Os 2.66, 9 Rh 2.79-2.81

The total magnetic moment comes out at 0.19 μB/cell.



--- Q ---
Density functional theory data (GGA-PBE) for a geometry-optimized ZrOsRh2 structure.

a b c (Å): 4.8703 4.8703 4.7905
angles (deg): 100.66 100.66 34.91
Last column: nearest neighbours and their distance in Å.
Fractional positions:
Zr 0.0000 0.0000 0.0000  4 Os 2.81, 6 Rh 2.81-2.88, 2 Zr 2.92
Os 0.5000 0.5000 0.5000  6 Rh 2.74-2.82, 4 Zr 2.81, 2 Os 2.92
Rh 0.2432 0.2432 0.7318  6 Rh 2.68-2.94, 3 Os 2.74-2.82, 3 Zr 2.81-2.88
Rh 0.7568 0.7568 0.2682  6 Rh 2.68-2.94, 3 Os 2.74-2.82, 3 Zr 2.81-2.88

The total magnetic moment comes out at 0.00 μB/cell.



--- R ---
Density functional theory data (GGA-PBE) for a geometry-optimized ZrOsRh2 structure.

a b c (Å): 9.4231 9.4231 9.4231
angles (deg): 155.92 155.92 34.31
Last column: nearest neighbours and their distance in Å.
Fractional positions:
Zr 0.0000 0.0000 0.0000  4 Rh 2.68, 4 Os 2.78
Zr 0.7500 0.2500 0.5000  4 Rh 2.68, 4 Os 2.78
Os 0.2500 0.7500 0.5000  4 Rh 2.62, 4 Zr 2.78
Os 0.5000 0.5000 0.0000  4 Rh 2.62, 4 Zr 2.78
Rh 0.1457 0.6250 0.0207  2 Os 2.62, 4 Rh 2.67-2.90, 2 Zr 2.68
Rh 0.3750 0.3957 0.5207  2 Os 2.62, 4 Rh 2.67-2.90, 2 Zr 2.68
Rh 0.6043 0.1250 0.9793  2 Os 2.62, 4 Rh 2.67-2.90, 2 Zr 2.68
Rh 0.8750 0.8543 0.4793  2 Os 2.62, 4 Rh 2.67-2.90, 2 Zr 2.68

The total magnetic moment comes out at 0.00 μB/cell.



Short version: Q, P, R, most stable first.



--- P ---
Density functional theory data (GGA-PBE) for a geometry-optimized ZrOsRh2 structure.

a b c (Å): 2.8408 3.9106 5.6944
angles (deg): 90.00 90.09 90.00
Last column: nearest neighbours and their distance in Å.
Fractional positions:
Zr 0.0000 0.0000 0.0000  2 Zr 2.84, 2 Os 2.85, 8 Rh 2.86
Os 0.0000 0.0000 0.5000  8 Rh 2.75, 2 Os 2.84, 2 Zr 2.85
Rh 0.5005 0.5000 0.2688  3 Rh 2.63-2.84, 4 Os 2.75, 4 Zr 2.86
Rh 0.4995 0.5000 0.7312  3 Rh 2.63-2.84, 4 Os 2.75, 4 Zr 2.86

The total magnetic moment comes out at 0.00 μB/cell.



--- Q ---
Density functional theory data (GGA-PBE) for a geometry-optimized ZrOsRh2 structure.

a b c (Å): 4.8630 4.8630 4.8630
angles (deg): 131.55 131.55 70.95
Last column: nearest neighbours and their distance in Å.
Fractional positions:
Zr 0.0000 0.0000 0.0000  8 Rh 2.81, 4 Os 2.82
Os 0.5000 0.5000 0.0000  8 Rh 2.81, 4 Zr 2.82
Rh 0.2500 0.7500 0.5000  4 Zr 2.81, 4 Os 2.81, 4 Rh 2.82
Rh 0.7500 0.2500 0.5000  4 Zr 2.81, 4 Os 2.81, 4 Rh 2.82

The total magnetic moment comes out at 0.00 μB/cell.



--- R ---
Density functional theory data (GGA-PBE) for a geometry-optimized ZrOsRh2 structure.

a b c (Å): 4.8486 4.8486 4.8942
angles (deg): 100.09 100.09 34.22
Last column: nearest neighbours and their distance in Å.
Fractional positions:
Zr 0.0000 0.0000 0.0000  7 Rh 2.75-2.87, 2 Zr 2.85, 3 Os 2.92-2.95
Os 0.2461 0.2461 0.6951  5 Rh 2.66-2.71, 2 Os 2.85, 3 Zr 2.92-2.95
Rh 0.5048 0.5048 0.5116  3 Os 2.67-2.71, 4 Zr 2.79-2.87, 5 Rh 2.85-2.87
Rh 0.7534 0.7534 0.2393  2 Os 2.66, 3 Zr 2.75-2.81, 5 Rh 2.85-2.87

The total magnetic moment comes out at 0.00 μB/cell.



Short version: Q, P, R, most stable first.



--- P ---
Density functional theory data (GGA-PBE) for a geometry-optimized ZrOsRh2 structure.

a b c (Å): 4.8704 4.8704 4.8704
angles (deg): 131.60 131.60 70.86
Last column: nearest neighbours and their distance in Å.
Fractional positions:
Zr 0.0000 0.0000 0.0000  4 Os 2.81, 8 Rh 2.81-2.82
Os 0.2500 0.7500 0.5000  4 Zr 2.81, 8 Rh 2.81-2.82
Rh 0.5000 0.5000 0.0000  4 Os 2.81, 4 Rh 2.81, 4 Zr 2.82
Rh 0.7500 0.2500 0.5000  4 Zr 2.81, 4 Rh 2.81, 4 Os 2.82

The total magnetic moment comes out at 0.00 μB/cell.



--- Q ---
Density functional theory data (GGA-PBE) for a geometry-optimized ZrOsRh2 structure.

a b c (Å): 3.9944 3.9944 3.9370
angles (deg): 90.00 90.00 90.00
Last column: nearest neighbours and their distance in Å.
Fractional positions:
Zr 0.0000 0.0000 0.0000  8 Rh 2.80, 4 Os 2.82
Os 0.5000 0.5000 0.0000  8 Rh 2.80, 4 Zr 2.82
Rh 0.0000 0.5000 0.5000  4 Os 2.80, 4 Zr 2.80, 4 Rh 2.82
Rh 0.5000 0.0000 0.5000  4 Os 2.80, 4 Zr 2.80, 4 Rh 2.82

The total magnetic moment comes out at 0.00 μB/cell.



--- R ---
Density functional theory data (GGA-PBE) for a geometry-optimized ZrOsRh2 structure.

a b c (Å): 4.8119 4.8119 2.8485
angles (deg): 90.00 90.00 108.38
Last column: nearest neighbours and their distance in Å.
Fractional positions:
Zr 0.0000 0.0000 0.0000  8 Rh 2.80, 2 Os 2.82, 2 Zr 2.85
Os 0.5000 0.5000 0.0000  8 Rh 2.80, 2 Zr 2.82, 2 Os 2.85
Rh 0.0000 0.5000 0.5000  4 Zr 2.80, 4 Os 2.80, 4 Rh 2.82-2.85
Rh 0.5000 0.0000 0.5000  4 Zr 2.80, 4 Os 2.80, 4 Rh 2.82-2.85

The total magnetic moment comes out at 0.00 μB/cell.



Short version: Q, R, P, most stable first.



--- P ---
Density functional theory data (GGA-PBE) for a geometry-optimized ZrOsRh2 structure.

a b c (Å): 4.4996 4.4996 4.4996
angles (deg): 60.00 60.00 60.00
Last column: nearest neighbours and their distance in Å.
Fractional positions:
Zr 0.0000 0.0000 0.0000  4 Rh 2.76, 4 Os 2.76
Os 0.2500 0.2500 0.2500  4 Rh 2.76, 4 Zr 2.76
Rh 0.5000 0.5000 0.5000  4 Os 2.76, 4 Rh 2.76
Rh 0.7500 0.7500 0.7500  4 Rh 2.76, 4 Zr 2.76

The total magnetic moment comes out at 0.00 μB/cell.



--- Q ---
Density functional theory data (GGA-PBE) for a geometry-optimized ZrOsRh2 structure.

a b c (Å): 2.8461 2.8461 7.8688
angles (deg): 90.00 90.00 90.00
Last column: nearest neighbours and their distance in Å.
Fractional positions:
Zr 0.0000 0.0000 0.0000  4 Zr 2.85, 4 Rh 2.85, 4 Os 2.98
Os 0.5000 0.5000 0.2799  4 Rh 2.65, 4 Os 2.85
Rh 0.0000 0.0000 0.4988  4 Os 2.65, 8 Rh 2.79-2.85
Rh 0.5000 0.5000 0.7442  8 Rh 2.79-2.85, 4 Zr 2.85

The total magnetic moment comes out at 0.00 μB/cell.



Short version: Q, P, most stable first.



--- P ---
Density functional theory data (GGA-PBE) for a geometry-optimized ZrOsRh structure.

a b c (Å): 4.3440 4.3440 4.3440
angles (deg): 60.00 60.00 60.00
Last column: nearest neighbours and their distance in Å.
Fractional positions:
Zr 0.0000 0.0000 0.0000  4 Rh 2.66
Os 0.5000 0.5000 0.5000  4 Rh 2.66
Rh 0.2500 0.2500 0.2500  4 Zr 2.66, 4 Os 2.66

The total magnetic moment comes out at 0.00 μB/cell.



--- Q ---
Density functional theory data (GGA-PBE) for a geometry-optimized ZrOsRh structure.

a b c (Å): 6.4542 6.4542 6.4542
angles (deg): 154.55 154.55 36.30
Last column: nearest neighbours and their distance in Å.
Fractional positions:
Zr 0.0000 0.0000 0.0000  4 Zr 2.84, 4 Os 2.97, 4 Rh 2.98
Os 0.3221 0.3221 0.0000  4 Rh 2.66, 4 Os 2.84, 4 Zr 2.97
Rh 0.6796 0.6796 0.0000  4 Os 2.66, 4 Rh 2.84, 4 Zr 2.98

The total magnetic moment comes out at 0.00 μB/cell.



--- R ---
Density functional theory data (GGA-PBE) for a geometry-optimized ZrOsRh structure.

a b c (Å): 4.5382 4.5382 2.7925
angles (deg): 90.00 90.00 120.00
Last column: nearest neighbours and their distance in Å.
Fractional positions:
Zr 0.0000 0.0000 0.0000  3 Rh 2.62, 2 Zr 2.79
Os 0.6667 0.3333 0.4977  2 Os 2.79, 6 Zr 2.97, 6 Rh 2.97
Rh 0.3333 0.6667 0.9975  3 Zr 2.62, 2 Rh 2.79

The total magnetic moment comes out at 0.00 μB/cell.



Short version: Q, R, P, most stable first.



--- P ---
Density functional theory data (GGA-PBE) for a geometry-optimized Zr2OsRh2 structure.

a b c (Å): 6.9757 6.9757 3.6400
angles (deg): 90.00 90.00 90.00
Last column: nearest neighbours and their distance in Å.
Fractional positions:
Zr 0.1799 0.3201 0.0000  6 Rh 2.62-2.84
Zr 0.3201 0.8201 0.0000  6 Rh 2.62-2.84
Zr 0.6799 0.1799 0.0000  6 Rh 2.62-2.84
Zr 0.8201 0.6799 0.0000  6 Rh 2.62-2.84
Os 0.0000 0.0000 0.5000  4 Rh 2.74
Os 0.5000 0.5000 0.5000  4 Rh 2.74
Rh 0.1287 0.6287 0.5000  1 Rh 2.54, 6 Zr 2.62-2.84, 2 Os 2.74
Rh 0.3713 0.1287 0.5000  1 Rh 2.54, 6 Zr 2.62-2.84, 2 Os 2.74
Rh 0.6287 0.8713 0.5000  1 Rh 2.54, 6 Zr 2.62-2.84, 2 Os 2.74
Rh 0.8713 0.3713 0.5000  1 Rh 2.54, 6 Zr 2.62-2.84, 2 Os 2.74

The total magnetic moment comes out at 0.00 μB/cell.



--- Q ---
Density functional theory data (GGA-PBE) for a geometry-optimized Zr2OsRh2 structure.

a b c (Å): 5.2262 5.2262 5.2262
angles (deg): 122.18 122.18 86.27
Last column: nearest neighbours and their distance in Å.
Fractional positions:
Zr 0.2500 0.7500 0.5000  4 Rh 2.62
Zr 0.7500 0.2500 0.5000  4 Rh 2.62
Os 0.0000 0.0000 0.0000  2 Rh 2.60
Rh 0.3410 0.3410 0.0000  1 Rh 2.43, 1 Os 2.60, 4 Zr 2.62
Rh 0.6590 0.6590 0.0000  1 Rh 2.43, 1 Os 2.60, 4 Zr 2.62

The total magnetic moment comes out at 0.00 μB/cell.



Short version: P, Q, most stable first.



--- P ---
Density functional theory data (GGA-PBE) for a geometry-optimized ZrOsRh3 structure.

a b c (Å): 4.7069 4.7069 4.7069
angles (deg): 90.00 90.00 90.00
Last column: nearest neighbours and their distance in Å.
Fractional positions:
Zr 0.0000 0.0000 0.0000  6 Rh 2.35
Os 0.5000 0.5000 0.5000  12 Rh 3.33
Rh 0.0000 0.0000 0.5000  2 Zr 2.35
Rh 0.0000 0.5000 0.0000  2 Zr 2.35
Rh 0.5000 0.0000 0.0000  2 Zr 2.35

The total magnetic moment comes out at 3.54 μB/cell.



--- Q ---
Density functional theory data (GGA-PBE) for a geometry-optimized ZrOsRh3 structure.

a b c (Å): 4.6843 4.6843 4.6843
angles (deg): 90.00 90.00 90.00
Last column: nearest neighbours and their distance in Å.
Fractional positions:
Zr 0.0000 0.0000 0.0000  12 Rh 3.31
Os 0.5000 0.5000 0.5000  6 Rh 2.34
Rh 0.0000 0.5000 0.5000  2 Os 2.34
Rh 0.5000 0.0000 0.5000  2 Os 2.34
Rh 0.5000 0.5000 0.0000  2 Os 2.34

The total magnetic moment comes out at 0.00 μB/cell.



Short version: Q, P, most stable first.



--- P ---
Density functional theory data (GGA-PBE) for a geometry-optimized Os5Ru structure.

a b c (Å): 4.3408 7.2758 7.2758
angles (deg): 21.79 90.00 90.00
Last column: nearest neighbours and their distance in Å.
Fractional positions:
Os 0.0000 0.0000 0.0000  2 Ru 2.69, 10 Os 2.69-2.76
Os 0.0000 0.3328 0.3328  12 Os 2.69-2.76
Os 0.0000 0.6663 0.6663  8 Os 2.69-2.75, 4 Ru 2.69
Os 0.5000 0.4438 0.4438  10 Os 2.69-2.75, 2 Ru 2.76
Os 0.5000 0.7770 0.7770  10 Os 2.69-2.75, 2 Ru 2.74
Ru 0.5000 0.1112 0.1112  10 Os 2.69-2.76, 2 Ru 2.75

The total magnetic moment comes out at 0.00 μB/cell.



--- Q ---
Density functional theory data (GGA-PBE) for a geometry-optimized Os5Ru structure.

a b c (Å): 2.7277 2.7277 11.5143
angles (deg): 90.00 90.00 90.00
Last column: nearest neighbours and their distance in Å.
Fractional positions:
Os 0.0000 0.0000 0.0000  12 Os 2.73
Os 0.0000 0.0000 0.3336  8 Os 2.72-2.73, 4 Ru 2.72
Os 0.0000 0.0000 0.6664  8 Os 2.72-2.73, 4 Ru 2.72
Os 0.5000 0.5000 0.1676  12 Os 2.72-2.73
Os 0.5000 0.5000 0.8324  12 Os 2.72-2.73
Ru 0.5000 0.5000 0.5000  8 Os 2.72, 4 Ru 2.73

The total magnetic moment comes out at 0.00 μB/cell.



Short version: P, Q, most stable first.